Record 1
SmCu2Si2 | the Alexandria database | PBEsol | relaxed; total energy = -5.7115 eV per atom; V = 15.64 A^3/atom; spin magnetization = 0.00 μB per formula unit
1.0
-1.995 1.995 4.911
1.995 -1.995 4.911
1.995 1.995 -4.911
Sm Cu Si
1 2 2
Direct
0.000 0.000 0.000
0.250 0.750 0.500
0.750 0.250 0.500
0.379 0.379 0.000
0.621 0.621 0.000

***

Record 2
CuSiSnTe2 | the Alexandria database | PBEsol | relaxed; total energy = -3.3663 eV per atom; V = 29.98 A^3/atom; spin magnetization = 0.00 μB per formula unit
1.0
5.669 0.000 0.000
0.000 5.669 0.000
0.000 0.000 4.663
Cu Si Sn Te
1 1 1 2
Direct
0.000 0.000 0.000
0.500 0.500 0.000
0.000 0.000 0.500
0.000 0.500 0.500
0.500 0.000 0.500

***

Record 3
SrCu9Si4 | the Alexandria database | PBEsol | relaxed; total energy = -4.8343 eV per atom; V = 13.27 A^3/atom; spin magnetization = 0.00 μB per formula unit
1.0
-4.022 4.022 5.743
4.022 -4.022 5.743
4.022 4.022 -5.743
Sr Cu Si
2 18 8
Direct
0.250 0.250 0.000
0.750 0.750 0.000
0.000 0.500 0.500
0.059 0.559 0.254
0.064 0.796 0.860
0.195 0.941 0.500
0.204 0.064 0.268
0.296 0.564 0.860
0.305 0.805 0.746
0.436 0.296 0.732
0.441 0.695 0.500
0.500 0.000 0.500
0.559 0.305 0.500
0.564 0.704 0.268
0.695 0.195 0.254
0.704 0.436 0.140
0.796 0.936 0.732
0.805 0.059 0.500
0.936 0.204 0.140
0.941 0.441 0.746
0.059 0.207 0.500
0.207 0.707 0.148
0.293 0.441 0.500
0.441 0.941 0.148
0.559 0.059 0.852
0.707 0.559 0.500
0.793 0.293 0.852
0.941 0.793 0.500

***

Record 4
SrCu2Si2 | the Alexandria database | PBEsol | relaxed; total energy = -4.8002 eV per atom; V = 16.81 A^3/atom; spin magnetization = 0.00 μB per formula unit
1.0
-2.067 2.067 4.917
2.067 -2.067 4.917
2.067 2.067 -4.917
Sr Cu Si
1 2 2
Direct
0.000 0.000 0.000
0.250 0.750 0.500
0.750 0.250 0.500
0.376 0.376 0.000
0.624 0.624 0.000

***

Record 5
SrCu2Si | the Alexandria database | PBEsol | relaxed; total energy = -4.3704 eV per atom; V = 19.07 A^3/atom; spin magnetization = 0.00 μB per formula unit
1.0
2.050 1.184 5.238
-2.050 1.184 5.238
0.000 -2.367 5.238
Sr Cu Si
1 2 1
Direct
0.000 0.000 0.000
0.191 0.191 0.191
0.809 0.809 0.809
0.500 0.500 0.500

***

Record 6
SrCu2Si | the Alexandria database | PBEsol | relaxed; total energy = -4.3203 eV per atom; V = 19.53 A^3/atom; spin magnetization = 0.00 μB per formula unit
1.0
3.552 -2.047 0.000
3.552 2.047 0.000
-2.377 0.000 5.372
Sr Cu Si
1 2 1
Direct
0.000 0.000 0.000
0.189 0.189 0.565
0.494 0.494 0.481
0.808 0.808 0.420

***

Record 7
SrCu2Si | the Alexandria database | PBEsol | relaxed; total energy = -3.8135 eV per atom; V = 17.60 A^3/atom; spin magnetization = 0.00 μB per formula unit
1.0
0.000 3.277 3.277
3.277 0.000 3.277
3.277 3.277 0.000
Sr Cu Si
1 2 1
Direct
0.000 0.000 0.000
0.500 0.500 0.500
0.750 0.750 0.750
0.250 0.250 0.250

***

Record 8
TaCu2Si | the Alexandria database | PBEsol | relaxed; total energy = -6.6597 eV per atom; V = 13.46 A^3/atom; spin magnetization = 0.00 μB per formula unit
1.0
-1.385 2.250 4.317
1.385 -2.250 4.317
1.385 2.250 -4.317
Ta Cu Si
1 2 1
Direct
0.000 0.000 0.000
0.273 0.773 0.500
0.514 0.514 0.000
0.740 0.240 0.500

***

Record 9
TaCu2Si | the Alexandria database | PBEsol | relaxed; total energy = -6.6178 eV per atom; V = 13.67 A^3/atom; spin magnetization = 0.00 μB per formula unit
1.0
1.365 0.788 8.473
-1.365 0.788 8.473
0.000 -1.576 8.473
Ta Cu Si
1 2 1
Direct
0.000 0.000 0.000
0.243 0.243 0.243
0.757 0.757 0.757
0.500 0.500 0.500

***

Record 10
TaCu2Si | the Alexandria database | PBEsol | relaxed; total energy = -6.7689 eV per atom; V = 13.43 A^3/atom; spin magnetization = 0.00 μB per formula unit
1.0
-1.819 1.819 4.057
1.819 -1.819 4.057
1.819 1.819 -4.057
Ta Cu Si
1 2 1
Direct
0.000 0.000 0.000
0.250 0.750 0.500
0.750 0.250 0.500
0.500 0.500 0.000

***

Record 11
TbCu2Si2 | the Alexandria database | PBEsol | relaxed; total energy = -5.6966 eV per atom; V = 15.26 A^3/atom; spin magnetization = 0.00 μB per formula unit
1.0
-1.969 1.969 4.918
1.969 -1.969 4.918
1.969 1.969 -4.918
Tb Cu Si
1 2 2
Direct
0.000 0.000 0.000
0.250 0.750 0.500
0.750 0.250 0.500
0.381 0.381 0.000
0.619 0.619 0.000

***

Record 12
TbCuSi | the Alexandria database | PBEsol | relaxed; total energy = -5.7044 eV per atom; V = 18.00 A^3/atom; spin magnetization = 0.00 μB per formula unit
1.0
4.090 0.000 0.000
-2.045 3.542 0.000
0.000 0.000 3.727
Tb Cu Si
1 1 1
Direct
0.000 0.000 0.000
0.667 0.333 0.500
0.333 0.667 0.500

***

Record 13
TbCuSi | the Alexandria database | PBEsol | relaxed; total energy = -5.7334 eV per atom; V = 18.05 A^3/atom; spin magnetization = 0.00 μB per formula unit
1.0
4.106 0.000 0.000
-2.053 3.556 0.000
0.000 0.000 7.418
Tb Cu Si
2 2 2
Direct
0.000 0.000 0.000
0.000 0.000 0.500
0.333 0.667 0.250
0.667 0.333 0.750
0.333 0.667 0.750
0.667 0.333 0.250

***

Record 14
Cu3SiTc | the Alexandria database | PBEsol | relaxed; total energy = -4.3215 eV per atom; V = 18.48 A^3/atom; spin magnetization = 0.42 μB per formula unit
1.0
4.521 0.000 0.000
0.000 4.521 0.000
0.000 0.000 4.521
Cu Si Tc
3 1 1
Direct
0.000 0.000 0.500
0.000 0.500 0.000
0.500 0.000 0.000
0.500 0.500 0.500
0.000 0.000 0.000

***

Record 15
CuSi2Tc | the Alexandria database | PBEsol | relaxed; total energy = -6.9426 eV per atom; V = 12.50 A^3/atom; spin magnetization = 0.00 μB per formula unit
1.0
-1.716 2.016 3.613
1.716 -2.016 3.613
1.716 2.016 -3.613
Cu Si Tc
1 2 1
Direct
0.000 0.000 0.000
0.239 0.739 0.500
0.761 0.261 0.500
0.500 0.500 0.000

***

Record 16
CuSiTc | the Alexandria database | PBEsol | relaxed; total energy = -7.2842 eV per atom; V = 12.36 A^3/atom; spin magnetization = 0.00 μB per formula unit
1.0
4.036 0.000 0.000
-2.018 3.495 0.000
0.000 0.000 2.628
Cu Si Tc
1 1 1
Direct
0.000 0.000 0.000
0.333 0.667 0.998
0.667 0.333 0.500

***

Record 17
Cu2SiTe3 | the Alexandria database | PBEsol | relaxed; total energy = -4.2050 eV per atom; V = 25.38 A^3/atom; spin magnetization = 0.00 μB per formula unit
1.0
-2.106 6.201 2.916
2.106 -6.201 2.916
2.106 6.201 -2.916
Cu Si Te
2 1 3
Direct
0.166 0.000 0.166
0.834 0.000 0.834
0.474 0.974 0.500
0.067 0.738 0.330
0.408 0.738 0.670
0.746 0.746 0.000

***

Record 18
Cu2Si2Te | the Alexandria database | PBEsol | relaxed; total energy = -4.5617 eV per atom; V = 15.80 A^3/atom; spin magnetization = 0.00 μB per formula unit
1.0
-1.871 1.871 5.642
1.871 -1.871 5.642
1.871 1.871 -5.642
Cu Si Te
2 2 1
Direct
0.111 0.111 0.000
0.889 0.889 0.000
0.250 0.750 0.500
0.750 0.250 0.500
0.500 0.500 0.000

***

Record 19
Cu2SiTe3 | the Alexandria database | PBEsol | relaxed; total energy = -4.2059 eV per atom; V = 25.36 A^3/atom; spin magnetization = 0.00 μB per formula unit
1.0
3.585 -6.241 0.000
3.585 6.241 0.000
-2.355 0.000 6.799
Cu Si Te
4 2 6
Direct
0.085 0.915 0.500
0.266 0.759 0.004
0.759 0.266 0.504
0.915 0.085 0.000
0.436 0.607 0.520
0.607 0.436 0.020
0.135 0.635 0.634
0.293 0.463 0.133
0.463 0.293 0.633
0.635 0.135 0.134
0.809 0.979 0.628
0.979 0.809 0.128

***

Record 20
Th2CuSi3 | the Alexandria database | PBEsol | relaxed; total energy = -7.0417 eV per atom; V = 19.65 A^3/atom; spin magnetization = 0.00 μB per formula unit
1.0
4.116 0.000 0.000
-2.058 3.565 0.000
0.000 0.000 8.036
Th Cu Si
2 1 3
Direct
0.000 0.000 0.246
0.000 0.000 0.754
0.667 0.333 0.500
0.333 0.667 0.000
0.333 0.667 0.500
0.667 0.333 0.000

***

Record 21
ThCu2Si2 | the Alexandria database | PBEsol | relaxed; total energy = -6.2814 eV per atom; V = 16.16 A^3/atom; spin magnetization = 0.00 μB per formula unit
1.0
-2.040 2.040 4.853
2.040 -2.040 4.853
2.040 2.040 -4.853
Th Cu Si
1 2 2
Direct
0.000 0.000 0.000
0.250 0.750 0.500
0.750 0.250 0.500
0.377 0.377 0.000
0.623 0.623 0.000

***

Record 22
TiCuSi3 | the Alexandria database | PBEsol | relaxed; total energy = -5.0804 eV per atom; V = 20.31 A^3/atom; spin magnetization = 0.00 μB per formula unit
1.0
4.665 0.000 0.000
0.000 4.665 0.000
0.000 0.000 4.665
Ti Cu Si
1 1 3
Direct
0.000 0.000 0.000
0.500 0.500 0.500
0.000 0.000 0.500
0.000 0.500 0.000
0.500 0.000 0.000

***

Record 23
TlCu2Si | the Alexandria database | PBEsol | relaxed; total energy = -3.9869 eV per atom; V = 16.28 A^3/atom; spin magnetization = 0.00 μB per formula unit
1.0
3.055 0.000 0.000
0.000 3.055 0.000
0.000 0.000 6.979
Tl Cu Si
1 2 1
Direct
0.000 0.000 0.000
0.000 0.000 0.469
0.500 0.500 0.287
0.500 0.500 0.642

***

Record 24
TlCuSi2 | the Alexandria database | PBEsol | relaxed; total energy = -4.2053 eV per atom; V = 17.14 A^3/atom; spin magnetization = 0.00 μB per formula unit
1.0
-1.391 2.404 5.124
1.391 -2.404 5.124
1.391 2.404 -5.124
Tl Cu Si
1 1 2
Direct
0.000 0.000 0.000
0.500 0.500 0.000
0.292 0.792 0.500
0.708 0.208 0.500

***

Record 25
CuSiW2 | the Alexandria database | PBEsol | relaxed; total energy = -9.2393 eV per atom; V = 13.99 A^3/atom; spin magnetization = 0.00 μB per formula unit
1.0
-1.597 2.129 4.114
1.597 -2.129 4.114
1.597 2.129 -4.114
Cu Si W
1 1 2
Direct
0.000 0.000 0.000
0.500 0.500 0.000
0.257 0.757 0.500
0.743 0.243 0.500

***

Record 26
Cu2SiW | the Alexandria database | PBEsol | relaxed; total energy = -6.9054 eV per atom; V = 13.12 A^3/atom; spin magnetization = 0.00 μB per formula unit
1.0
1.354 0.781 8.267
-1.354 0.781 8.267
0.000 -1.563 8.267
Cu Si W
2 1 1
Direct
0.000 0.000 0.000
0.252 0.252 0.252
0.744 0.744 0.744
0.498 0.498 0.498

***

Record 27
CuSi2W | the Alexandria database | PBEsol | relaxed; total energy = -7.1792 eV per atom; V = 13.58 A^3/atom; spin magnetization = 0.00 μB per formula unit
1.0
1.841 -1.909 0.000
1.841 1.909 0.000
0.000 0.000 7.728
Cu Si W
1 2 1
Direct
0.000 0.000 0.000
0.000 0.000 0.491
0.500 0.500 0.220
0.500 0.500 0.744

***

Record 28
Cu2SiW | the Alexandria database | PBEsol | relaxed; total energy = -6.8325 eV per atom; V = 12.77 A^3/atom; spin magnetization = 0.00 μB per formula unit
1.0
-1.862 1.862 3.681
1.862 -1.862 3.681
1.862 1.862 -3.681
Cu Si W
2 1 1
Direct
0.000 0.000 0.000
0.750 0.250 0.500
0.500 0.500 0.000
0.250 0.750 0.500